{"formula": "SrP2Ru", "functional": "GGA-PBE", "state": "optimized geometry", "lattice": [[-1.6700, 1.7696, 6.5782], [1.6700, -1.7696, 6.5782], [1.6700, 1.7696, -6.5782]], "species": ["Sr", "P", "P", "Ru"], "fractional_positions": [[0.0000, 0.0000, 0.0000], [0.6338, 0.6338, 0.0000], [0.8096, 0.3096, 0.5000], [0.2463, 0.7463, 0.5000]], "delta_e_f_mev_per_atom": -368.4, "polymorph_energy_mev_per_atom": 322, "crystal_system": "orthorhombic", "final_energy_ev_per_atom": -5.8128, "m_tot_mub_per_fu": 0.000}